1.
## VSb3Mo (GGA-PBE)

Data for a geometry-optimized VSb3Mo structure.

Geometry as CIF:
```
data_VSb3Mo
_chemical_formula_sum 'V1 Sb3 Mo1'
_symmetry_space_group_name_H-M 'P 1'
_symmetry_Int_Tables_number 1
_cell_length_a 5.228
_cell_length_b 5.228
_cell_length_c 5.228
_cell_angle_alpha 90.00
_cell_angle_beta 90.00
_cell_angle_gamma 90.00
loop_
_symmetry_equiv_pos_as_xyz
'x,y,z'
loop_
_atom_site_label
_atom_site_type_symbol
_atom_site_fract_x
_atom_site_fract_y
_atom_site_fract_z
_atom_site_occupancy
V1 V 0.000 0.000 0.000 1
Sb1 Sb 0.000 0.500 0.500 1
Sb2 Sb 0.500 0.000 0.500 1
Sb3 Sb 0.500 0.500 0.000 1
Mo1 Mo 0.500 0.500 0.500 1
```

raw formation energy: 914 meV per atom
volume: 142.9 Å³ per cell
energy above the most stable polymorph in this dataset: 0.00 eV/f.u.

2.
## VSbMo2 (GGA-PBE)

Data for a geometry-optimized VSbMo2 structure.

Geometry as CIF:
```
data_VSbMo2
_chemical_formula_sum 'V2 Sb2 Mo4'
_symmetry_space_group_name_H-M 'P 1'
_symmetry_Int_Tables_number 1
_cell_length_a 10.141
_cell_length_b 10.141
_cell_length_c 10.141
_cell_angle_alpha 158.14
_cell_angle_beta 158.14
_cell_angle_gamma 31.11
loop_
_symmetry_equiv_pos_as_xyz
'x,y,z'
loop_
_atom_site_label
_atom_site_type_symbol
_atom_site_fract_x
_atom_site_fract_y
_atom_site_fract_z
_atom_site_occupancy
V1 V 0.000 0.000 0.000 1
V2 V 0.750 0.250 0.500 1
Sb1 Sb 0.250 0.750 0.500 1
Sb2 Sb 0.500 0.500 0.000 1
Mo1 Mo 0.122 0.625 0.997 1
Mo2 Mo 0.375 0.372 0.497 1
Mo3 Mo 0.628 0.125 0.003 1
Mo4 Mo 0.875 0.878 0.503 1
```

raw formation energy: 629 meV per atom
volume: 144.5 Å³ per cell

3.
## V4SbMo (GGA-PBE)

Data for a geometry-optimized V4SbMo structure.

Geometry as CIF:
```
data_V4SbMo
_chemical_formula_sum 'V4 Sb1 Mo1'
_symmetry_space_group_name_H-M 'P 1'
_symmetry_Int_Tables_number 1
_cell_length_a 5.095
_cell_length_b 5.095
_cell_length_c 4.442
_cell_angle_alpha 90.00
_cell_angle_beta 90.00
_cell_angle_gamma 128.96
loop_
_symmetry_equiv_pos_as_xyz
'x,y,z'
loop_
_atom_site_label
_atom_site_type_symbol
_atom_site_fract_x
_atom_site_fract_y
_atom_site_fract_z
_atom_site_occupancy
V1 V 0.176 0.824 0.000 1
V2 V 0.321 0.679 0.500 1
V3 V 0.679 0.321 0.500 1
V4 V 0.824 0.176 0.000 1
Sb1 Sb 0.000 0.000 0.500 1
Mo1 Mo 0.500 0.500 0.000 1
```

raw formation energy: -38 meV per atom
volume: 89.7 Å³ per cell
energy above the most stable polymorph in this dataset: 0.00 eV/f.u.

4.
## VSbMo (GGA-PBE)

Data for a geometry-optimized VSbMo structure.

Geometry as CIF:
```
data_VSbMo
_chemical_formula_sum 'V1 Sb1 Mo1'
_symmetry_space_group_name_H-M 'P 1'
_symmetry_Int_Tables_number 1
_cell_length_a 7.127
_cell_length_b 7.127
_cell_length_c 7.127
_cell_angle_alpha 155.14
_cell_angle_beta 155.14
_cell_angle_gamma 35.44
loop_
_symmetry_equiv_pos_as_xyz
'x,y,z'
loop_
_atom_site_label
_atom_site_type_symbol
_atom_site_fract_x
_atom_site_fract_y
_atom_site_fract_z
_atom_site_occupancy
V1 V 0.000 0.000 0.000 1
Sb1 Sb 0.792 0.792 0.000 1
Mo1 Mo 0.157 0.157 0.000 1
```

raw formation energy: 990 meV per atom
volume: 63.9 Å³ per cell
energy above the most stable polymorph in this dataset: 2.03 eV/f.u.

5.
## Y2VSbMo (GGA-PBE)

Data for a geometry-optimized Y2VSbMo structure.

Geometry as CIF:
```
data_Y2VSbMo
_chemical_formula_sum 'Y2 V1 Sb1 Mo1'
_symmetry_space_group_name_H-M 'P 1'
_symmetry_Int_Tables_number 1
_cell_length_a 5.664
_cell_length_b 5.664
_cell_length_c 4.891
_cell_angle_alpha 90.00
_cell_angle_beta 90.00
_cell_angle_gamma 90.00
loop_
_symmetry_equiv_pos_as_xyz
'x,y,z'
loop_
_atom_site_label
_atom_site_type_symbol
_atom_site_fract_x
_atom_site_fract_y
_atom_site_fract_z
_atom_site_occupancy
Y1 Y 0.000 0.500 0.000 1
Y2 Y 0.500 0.000 0.000 1
V1 V 0.000 0.000 0.500 1
Sb1 Sb 0.000 0.000 0.000 1
Mo1 Mo 0.500 0.500 0.500 1
```

raw formation energy: 1026 meV per atom
volume: 156.9 Å³ per cell

6.
## SbMoW2 (GGA-PBE)

Data for a geometry-optimized SbMoW2 structure.

Geometry as CIF:
```
data_SbMoW2
_chemical_formula_sum 'Sb2 Mo2 W4'
_symmetry_space_group_name_H-M 'P 1'
_symmetry_Int_Tables_number 1
_cell_length_a 10.217
_cell_length_b 10.217
_cell_length_c 10.217
_cell_angle_alpha 158.02
_cell_angle_beta 158.02
_cell_angle_gamma 31.28
loop_
_symmetry_equiv_pos_as_xyz
'x,y,z'
loop_
_atom_site_label
_atom_site_type_symbol
_atom_site_fract_x
_atom_site_fract_y
_atom_site_fract_z
_atom_site_occupancy
Sb1 Sb 0.000 0.000 0.000 1
Sb2 Sb 0.750 0.250 0.500 1
Mo1 Mo 0.250 0.750 0.500 1
Mo2 Mo 0.500 0.500 0.000 1
W1 W 0.105 0.625 0.980 1
W2 W 0.375 0.355 0.480 1
W3 W 0.645 0.125 0.020 1
W4 W 0.875 0.895 0.520 1
```

raw formation energy: 981 meV per atom
volume: 149.2 Å³ per cell

7.
## SbMoW2 (GGA-PBE)

Data for a geometry-optimized SbMoW2 structure.

Geometry as CIF:
```
data_SbMoW2
_chemical_formula_sum 'Sb1 Mo1 W2'
_symmetry_space_group_name_H-M 'P 1'
_symmetry_Int_Tables_number 1
_cell_length_a 5.363
_cell_length_b 5.363
_cell_length_c 5.363
_cell_angle_alpha 143.71
_cell_angle_beta 131.30
_cell_angle_gamma 62.22
loop_
_symmetry_equiv_pos_as_xyz
'x,y,z'
loop_
_atom_site_label
_atom_site_type_symbol
_atom_site_fract_x
_atom_site_fract_y
_atom_site_fract_z
_atom_site_occupancy
Sb1 Sb 0.000 0.000 0.000 1
Mo1 Mo 0.747 0.247 0.500 1
W1 W 0.255 0.755 0.500 1
W2 W 0.498 0.498 0.000 1
```

raw formation energy: 392 meV per atom
volume: 67.8 Å³ per cell

8.
## SbMo2W (GGA-PBE)

Data for a geometry-optimized SbMo2W structure.

Geometry as CIF:
```
data_SbMo2W
_chemical_formula_sum 'Sb1 Mo2 W1'
_symmetry_space_group_name_H-M 'P 1'
_symmetry_Int_Tables_number 1
_cell_length_a 5.326
_cell_length_b 5.326
_cell_length_c 5.326
_cell_angle_alpha 143.18
_cell_angle_beta 131.03
_cell_angle_gamma 62.80
loop_
_symmetry_equiv_pos_as_xyz
'x,y,z'
loop_
_atom_site_label
_atom_site_type_symbol
_atom_site_fract_x
_atom_site_fract_y
_atom_site_fract_z
_atom_site_occupancy
Sb1 Sb 0.000 0.000 0.000 1
Mo1 Mo 0.254 0.754 0.500 1
Mo2 Mo 0.746 0.246 0.500 1
W1 W 0.500 0.500 0.000 1
```

raw formation energy: 305 meV per atom
volume: 67.5 Å³ per cell